1) Density functional theory data (PBE) for SbP2 after structural relaxation.

## Properties
Magnetic moment, μB/f.u.: 0.0
Symmetry: No. 164

CIF file:
```
data_SbP2
_chemical_formula_sum 'Sb1 P2'
_symmetry_space_group_name_H-M 'P 1'
_symmetry_Int_Tables_number 1
_cell_length_a 3.329
_cell_length_b 3.329
_cell_length_c 6.356
_cell_angle_alpha 90.00
_cell_angle_beta 90.00
_cell_angle_gamma 120.00
loop_
_symmetry_equiv_pos_as_xyz
'x,y,z'
loop_
_atom_site_label
_atom_site_fract_x
_atom_site_fract_y
_atom_site_fract_z
P1 0.667 0.333 0.597
P2 0.333 0.667 0.403
Sb1 0.000 0.000 0.000
```

***

2) Density functional theory data (PBE) for SbP2 after structural relaxation.

## Properties
Magnetic moment, μB/f.u.: 0.0
Symmetry: No. 12

CIF file:
```
data_SbP2
_chemical_formula_sum 'Sb2 P4'
_symmetry_space_group_name_H-M 'P 1'
_symmetry_Int_Tables_number 1
_cell_length_a 6.660
_cell_length_b 6.660
_cell_length_c 6.507
_cell_angle_alpha 84.77
_cell_angle_beta 84.77
_cell_angle_gamma 32.41
loop_
_symmetry_equiv_pos_as_xyz
'x,y,z'
loop_
_atom_site_label
_atom_site_fract_x
_atom_site_fract_y
_atom_site_fract_z
Sb1 0.500 0.500 0.269
Sb2 0.500 0.500 0.731
P1 0.860 0.860 0.791
P2 0.140 0.140 0.209
P3 0.806 0.806 0.479
P4 0.194 0.194 0.521
```

***

3) Density functional theory data (PBE) for SbP2 after structural relaxation.

## Properties
Magnetic moment, μB/f.u.: 0.0
Symmetry: No. 12

CIF file:
```
data_SbP2
_chemical_formula_sum 'Sb2 P4'
_symmetry_space_group_name_H-M 'P 1'
_symmetry_Int_Tables_number 1
_cell_length_a 6.223
_cell_length_b 6.223
_cell_length_c 12.186
_cell_angle_alpha 43.43
_cell_angle_beta 43.43
_cell_angle_gamma 30.19
loop_
_symmetry_equiv_pos_as_xyz
'x,y,z'
loop_
_atom_site_label
_atom_site_fract_x
_atom_site_fract_y
_atom_site_fract_z
P1 0.898 0.898 0.946
P2 0.559 0.559 0.761
P3 0.496 0.496 0.628
P4 0.158 0.158 0.443
Sb1 0.428 0.428 0.367
Sb2 0.627 0.627 0.022
```

***

Most favorable structure: 3). The second most favorable one is 5.2 kJ/mol of atoms above it.

***

1) Density functional theory data (PBE) for SbP2 after structural relaxation.

## Properties
Magnetic moment, μB/f.u.: 0.0
Symmetry: No. 140

CIF file:
```
data_SbP2
_chemical_formula_sum 'Sb2 P4'
_symmetry_space_group_name_H-M 'P 1'
_symmetry_Int_Tables_number 1
_cell_length_a 5.498
_cell_length_b 5.498
_cell_length_c 5.498
_cell_angle_alpha 115.56
_cell_angle_beta 115.56
_cell_angle_gamma 97.89
loop_
_symmetry_equiv_pos_as_xyz
'x,y,z'
loop_
_atom_site_label
_atom_site_fract_x
_atom_site_fract_y
_atom_site_fract_z
Sb1 0.250 0.250 0.000
Sb2 0.750 0.750 0.000
P1 0.372 0.872 0.245
P2 0.628 0.128 0.755
P3 0.128 0.372 0.500
P4 0.872 0.628 0.500
```

***

2) Density functional theory data (PBE) for SbP2 after structural relaxation.

## Properties
Magnetic moment, μB/f.u.: 0.0
Symmetry: No. 8

CIF file:
```
data_SbP2
_chemical_formula_sum 'Sb2 P4'
_symmetry_space_group_name_H-M 'P 1'
_symmetry_Int_Tables_number 1
_cell_length_a 6.942
_cell_length_b 6.942
_cell_length_c 5.757
_cell_angle_alpha 70.78
_cell_angle_beta 70.78
_cell_angle_gamma 31.55
loop_
_symmetry_equiv_pos_as_xyz
'x,y,z'
loop_
_atom_site_label
_atom_site_fract_x
_atom_site_fract_y
_atom_site_fract_z
Sb1 0.036 0.036 0.358
Sb2 0.702 0.702 0.766
P1 0.008 0.008 0.854
P2 0.678 0.678 0.252
P3 0.345 0.345 0.638
P4 0.397 0.397 0.966
```

***

3) Density functional theory data (PBE) for SbP2 after structural relaxation.

## Properties
Magnetic moment, μB/f.u.: 0.0
Symmetry: No. 58

CIF file:
```
data_SbP2
_chemical_formula_sum 'Sb2 P4'
_symmetry_space_group_name_H-M 'P 1'
_symmetry_Int_Tables_number 1
_cell_length_a 4.187
_cell_length_b 5.195
_cell_length_c 6.519
_cell_angle_alpha 90.00
_cell_angle_beta 90.00
_cell_angle_gamma 90.00
loop_
_symmetry_equiv_pos_as_xyz
'x,y,z'
loop_
_atom_site_label
_atom_site_fract_x
_atom_site_fract_y
_atom_site_fract_z
Sb1 0.000 0.000 0.000
Sb2 0.500 0.500 0.500
P1 0.000 0.167 0.595
P2 0.000 0.833 0.405
P3 0.500 0.667 0.905
P4 0.500 0.333 0.095
```

***

Most favorable structure: 2). The second most favorable one is 3.6 kJ/mol of atoms above it.

***

1) Density functional theory data (PBE) for Sb2P after structural relaxation.

## Properties
Magnetic moment, μB/f.u.: 0.0
Symmetry: No. 189

CIF file:
```
data_Sb2P
_chemical_formula_sum 'Sb6 P3'
_symmetry_space_group_name_H-M 'P 1'
_symmetry_Int_Tables_number 1
_cell_length_a 8.159
_cell_length_b 8.159
_cell_length_c 3.711
_cell_angle_alpha 90.00
_cell_angle_beta 90.00
_cell_angle_gamma 120.00
loop_
_symmetry_equiv_pos_as_xyz
'x,y,z'
loop_
_atom_site_label
_atom_site_fract_x
_atom_site_fract_y
_atom_site_fract_z
Sb1 0.257 0.000 0.000
Sb2 0.000 0.257 0.000
Sb3 0.743 0.743 0.000
Sb4 0.562 0.000 0.500
Sb5 0.000 0.562 0.500
Sb6 0.438 0.438 0.500
P1 0.333 0.667 0.000
P2 0.667 0.333 0.000
P3 0.000 0.000 0.500
```

***

2) Density functional theory data (PBE) for Sb2P after structural relaxation.

## Properties
Magnetic moment, μB/f.u.: 0.0
Symmetry: No. 164

CIF file:
```
data_Sb2P
_chemical_formula_sum 'Sb2 P1'
_symmetry_space_group_name_H-M 'P 1'
_symmetry_Int_Tables_number 1
_cell_length_a 4.114
_cell_length_b 4.114
_cell_length_c 5.062
_cell_angle_alpha 90.00
_cell_angle_beta 90.00
_cell_angle_gamma 120.00
loop_
_symmetry_equiv_pos_as_xyz
'x,y,z'
loop_
_atom_site_label
_atom_site_fract_x
_atom_site_fract_y
_atom_site_fract_z
Sb1 0.333 0.667 0.692
Sb2 0.667 0.333 0.308
P1 0.000 0.000 0.000
```

***

3) Density functional theory data (PBE) for Sb2P after structural relaxation.

## Properties
Magnetic moment, μB/f.u.: 0.0
Symmetry: No. 123

CIF file:
```
data_Sb2P
_chemical_formula_sum 'Sb2 P1'
_symmetry_space_group_name_H-M 'P 1'
_symmetry_Int_Tables_number 1
_cell_length_a 4.594
_cell_length_b 4.594
_cell_length_c 3.659
_cell_angle_alpha 90.00
_cell_angle_beta 90.00
_cell_angle_gamma 90.00
loop_
_symmetry_equiv_pos_as_xyz
'x,y,z'
loop_
_atom_site_label
_atom_site_fract_x
_atom_site_fract_y
_atom_site_fract_z
Sb1 0.500 0.000 0.500
Sb2 0.000 0.500 0.500
P1 0.000 0.000 0.000
```

***

4) Density functional theory data (PBE) for Sb2P after structural relaxation.

## Properties
Magnetic moment, μB/f.u.: 0.0
Symmetry: No. 139

CIF file:
```
data_Sb2P
_chemical_formula_sum 'Sb2 P1'
_symmetry_space_group_name_H-M 'P 1'
_symmetry_Int_Tables_number 1
_cell_length_a 6.103
_cell_length_b 6.103
_cell_length_c 6.103
_cell_angle_alpha 146.02
_cell_angle_beta 146.02
_cell_angle_gamma 48.82
loop_
_symmetry_equiv_pos_as_xyz
'x,y,z'
loop_
_atom_site_label
_atom_site_fract_x
_atom_site_fract_y
_atom_site_fract_z
Sb1 0.138 0.138 0.000
Sb2 0.862 0.862 0.000
P1 0.500 0.500 0.000
```

***

Most favorable structure: 2). The second most favorable one is 17.0 kJ/mol of atoms above it.

***

1) Density functional theory data (PBE) for Sb2P after structural relaxation.

## Properties
Magnetic moment, μB/f.u.: 0.0
Symmetry: No. 63

CIF file:
```
data_Sb2P
_chemical_formula_sum 'Sb4 P2'
_symmetry_space_group_name_H-M 'P 1'
_symmetry_Int_Tables_number 1
_cell_length_a 6.649
_cell_length_b 6.649
_cell_length_c 5.845
_cell_angle_alpha 90.00
_cell_angle_beta 90.00
_cell_angle_gamma 144.77
loop_
_symmetry_equiv_pos_as_xyz
'x,y,z'
loop_
_atom_site_label
_atom_site_fract_x
_atom_site_fract_y
_atom_site_fract_z
Sb1 0.173 0.827 0.750
Sb2 0.482 0.518 0.750
Sb3 0.518 0.482 0.250
Sb4 0.827 0.173 0.250
P1 0.824 0.176 0.750
P2 0.176 0.824 0.250
```

***

2) Density functional theory data (PBE) for Sb2P after structural relaxation.

## Properties
Magnetic moment, μB/f.u.: 0.0
Symmetry: No. 205

CIF file:
```
data_Sb2P
_chemical_formula_sum 'Sb8 P4'
_symmetry_space_group_name_H-M 'P 1'
_symmetry_Int_Tables_number 1
_cell_length_a 6.770
_cell_length_b 6.770
_cell_length_c 6.770
_cell_angle_alpha 90.00
_cell_angle_beta 90.00
_cell_angle_gamma 90.00
loop_
_symmetry_equiv_pos_as_xyz
'x,y,z'
loop_
_atom_site_label
_atom_site_fract_x
_atom_site_fract_y
_atom_site_fract_z
Sb1 0.623 0.623 0.377
Sb2 0.377 0.377 0.623
Sb3 0.123 0.877 0.623
Sb4 0.877 0.123 0.377
Sb5 0.377 0.123 0.123
Sb6 0.623 0.877 0.877
Sb7 0.877 0.377 0.877
Sb8 0.123 0.623 0.123
P1 0.000 0.000 0.000
P2 0.500 0.500 0.000
P3 0.500 0.000 0.500
P4 0.000 0.500 0.500
```

***

3) Density functional theory data (PBE) for Sb2P after structural relaxation.

## Properties
Magnetic moment, μB/f.u.: 0.0
Symmetry: No. 8

CIF file:
```
data_Sb2P
_chemical_formula_sum 'Sb4 P2'
_symmetry_space_group_name_H-M 'P 1'
_symmetry_Int_Tables_number 1
_cell_length_a 6.089
_cell_length_b 6.089
_cell_length_c 8.251
_cell_angle_alpha 89.81
_cell_angle_beta 89.81
_cell_angle_gamma 37.46
loop_
_symmetry_equiv_pos_as_xyz
'x,y,z'
loop_
_atom_site_label
_atom_site_fract_x
_atom_site_fract_y
_atom_site_fract_z
Sb1 0.682 0.682 0.307
Sb2 0.579 0.579 0.755
Sb3 0.917 0.917 0.437
Sb4 0.249 0.249 0.068
P1 0.037 0.037 0.960
P2 0.370 0.370 0.640
```

***

Most favorable structure: 3). The second most favorable one is 3.4 kJ/mol of atoms above it.